Record 1
Here is a geometry-optimized AcNdSmSc structure from Alexandria via LeMat-Bulk. Energies are from GGA-PBE.

Output
Symmetry: F-43m (216)
Energy relative to the elements, eV/atom: 0.20
Final energy, eV/atom: -4.78
Crystal system: cubic
Size of the total moment, μB per formula unit: 1.618
DOS(E_F), states/eV/cell: 9.25

```
data_AcNdSmSc
_chemical_formula_sum 'Ac1 Nd1 Sm1 Sc1'
_cell_length_a 5.808
_cell_length_b 5.808
_cell_length_c 5.808
_cell_angle_alpha 60.00
_cell_angle_beta 60.00
_cell_angle_gamma 60.00
_symmetry_space_group_name_H-M 'P 1'
_symmetry_Int_Tables_number 1
_symmetry_space_group_name_Hall 'P 1'
loop_
_atom_site_label
_atom_site_fract_x
_atom_site_fract_y
_atom_site_fract_z
Sc1 0.000 0.000 0.000
Ac1 0.500 0.500 0.500
Nd1 0.750 0.750 0.750
Sm1 0.250 0.250 0.250
```



Record 2
Here is a geometry-optimized AcNdScSn structure from Alexandria via LeMat-Bulk. Energies are from GGA-PBE.

Output
Symmetry: F-43m (216)
Energy relative to the elements, eV/atom: -0.16
Final energy, eV/atom: -4.96
Crystal system: cubic
Size of the total moment, μB per formula unit: 0.000
DOS(E_F), states/eV/cell: 6.32

```
data_AcNdScSn
_chemical_formula_sum 'Ac1 Nd1 Sc1 Sn1'
_cell_length_a 5.500
_cell_length_b 5.500
_cell_length_c 5.500
_cell_angle_alpha 60.00
_cell_angle_beta 60.00
_cell_angle_gamma 60.00
_symmetry_space_group_name_H-M 'P 1'
_symmetry_Int_Tables_number 1
_symmetry_space_group_name_Hall 'P 1'
loop_
_atom_site_label
_atom_site_fract_x
_atom_site_fract_y
_atom_site_fract_z
Sc1 0.500 0.500 0.500
Ac1 0.750 0.750 0.750
Nd1 0.000 0.000 0.000
Sn1 0.250 0.250 0.250
```



Record 3
Here is a geometry-optimized AcTbNdSc structure from Alexandria via LeMat-Bulk. Energies are from GGA-PBE.

Output
Symmetry: F-43m (216)
Energy relative to the elements, eV/atom: 0.12
Final energy, eV/atom: -4.84
Crystal system: cubic
Size of the total moment, μB per formula unit: 0.001
DOS(E_F), states/eV/cell: 6.85

```
data_AcTbNdSc
_chemical_formula_sum 'Ac1 Tb1 Nd1 Sc1'
_cell_length_a 5.763
_cell_length_b 5.763
_cell_length_c 5.763
_cell_angle_alpha 60.00
_cell_angle_beta 60.00
_cell_angle_gamma 60.00
_symmetry_space_group_name_H-M 'P 1'
_symmetry_Int_Tables_number 1
_symmetry_space_group_name_Hall 'P 1'
loop_
_atom_site_label
_atom_site_fract_x
_atom_site_fract_y
_atom_site_fract_z
Sc1 0.750 0.750 0.750
Nd1 0.500 0.500 0.500
Ac1 0.000 0.000 0.000
Tb1 0.250 0.250 0.250
```



- Which of these has the highest energy relative to the elements?
  AcNdSmSc